(1)
SbTeP2: relaxed, PBEsol.

```
SbTeP2
1.0
4.799 0.000 0.000
0.000 3.882 0.000
-1.527 0.000 5.052
Sb Te P
1 1 2
direct
0.000 0.000 0.000
0.500 0.000 0.500
0.307 0.500 0.820
0.693 0.500 0.180
```

Results
Symmetry = P2/m (10)
Electronic total energy = -4.7342 eV/atom
Size of the total moment = 0.000 μB per atom
Energy relative to the elements, uncorrected = 18 kJ/mol of atoms
Relative energy among the computed polymorphs = 0.25 eV per formula unit
DOS(E_F) = 1.994 states/eV per cell

(2)
Sb2TeP: relaxed, PBEsol.

```
Sb2TeP
1.0
-1.758 2.508 5.442
1.758 -2.508 5.442
1.758 2.508 -5.442
Sb Te P
2 1 1
direct
0.198 0.198 0.000
0.802 0.802 0.000
0.500 0.000 0.500
0.000 0.500 0.500
```

Results
Symmetry = Immm (71)
Electronic total energy = -4.3405 eV/atom
Size of the total moment = 0.000 μB per atom
Energy relative to the elements, uncorrected = 26 kJ/mol of atoms
Relative energy among the computed polymorphs = 0.83 eV per formula unit
DOS(E_F) = 2.349 states/eV per cell

(3)
Sb2TeP: relaxed, PBEsol.

```
Sb2TeP
1.0
2.122 1.225 6.568
-2.122 1.225 6.568
0.000 -2.450 6.568
Sb Te P
2 1 1
direct
0.236 0.236 0.236
0.764 0.764 0.764
0.000 0.000 0.000
0.500 0.500 0.500
```

Results
Symmetry = R-3m (166)
Electronic total energy = -4.5492 eV/atom
Size of the total moment = 0.000 μB per atom
Energy relative to the elements, uncorrected = 6 kJ/mol of atoms
Relative energy among the computed polymorphs = 0.00 eV per formula unit
DOS(E_F) = 1.854 states/eV per cell

(4)
SbTeP2: relaxed, PBEsol.

```
SbTeP2
1.0
4.812 0.000 0.000
0.000 4.812 0.000
0.000 0.000 3.442
Sb Te P
1 1 2
direct
0.000 0.000 0.000
0.500 0.500 0.000
0.000 0.500 0.500
0.500 0.000 0.500
```

Results
Symmetry = P4/mmm (123)
Electronic total energy = -4.4366 eV/atom
Size of the total moment = 0.000 μB per atom
Energy relative to the elements, uncorrected = 46 kJ/mol of atoms
Relative energy among the computed polymorphs = 1.44 eV per formula unit
DOS(E_F) = 2.627 states/eV per cell

(5)
SbTeP2: relaxed, PBEsol.

```
SbTeP2
1.0
3.950 0.000 0.000
0.000 3.950 0.000
0.000 0.000 5.614
Sb Te P
1 1 2
direct
0.000 0.000 0.000
0.500 0.500 0.507
0.000 0.000 0.518
0.500 0.500 0.006
```

Results
Symmetry = P4mm (99)
Electronic total energy = -4.7525 eV/atom
Size of the total moment = 0.000 μB per atom
Energy relative to the elements, uncorrected = 16 kJ/mol of atoms
Relative energy among the computed polymorphs = 0.18 eV per formula unit
DOS(E_F) = 1.880 states/eV per cell

(6)
SbTeP2: relaxed, PBEsol.

```
SbTeP2
1.0
0.000 3.448 3.448
3.448 0.000 3.448
3.448 3.448 0.000
Sb Te P
1 1 2
direct
0.000 0.000 0.000
0.250 0.250 0.250
0.500 0.500 0.500
0.750 0.750 0.750
```

Results
Symmetry = F-43m (216)
Electronic total energy = -4.3258 eV/atom
Size of the total moment = 0.000 μB per atom
Energy relative to the elements, uncorrected = 57 kJ/mol of atoms
Relative energy among the computed polymorphs = 1.89 eV per formula unit
DOS(E_F) = 2.270 states/eV per cell

What is the relative energy among the computed polymorphs in the third record?
0.00 eV per formula unit